P:
The following is a DFT calculation (GGA-PBE) of a geometry-optimized NdGa2CuPt structure.

Lattice parameters (Å, degrees): 4.302 4.302 10.206 90.00 90.00 90.00
Atoms (fractional coordinates):
1 Cu 0.000 0.000 0.000
2 Cu 0.500 0.500 0.000
3 Ga 0.500 0.000 0.120
4 Ga 0.000 0.000 0.500
5 Ga 0.500 0.500 0.500
6 Ga 0.000 0.500 0.880
7 Nd 0.000 0.500 0.247
8 Nd 0.500 0.000 0.753
9 Pt 0.500 0.000 0.365
10 Pt 0.000 0.500 0.635


Q:
The following is a DFT calculation (GGA-PBE) of a geometry-optimized NdGa2CuPt structure.

Lattice parameters (Å, degrees): 4.173 4.173 10.536 90.00 90.00 90.00
Atoms (fractional coordinates):
1 Cu 0.000 0.500 0.367
2 Cu 0.500 0.000 0.633
3 Ga 0.000 0.500 0.142
4 Ga 0.000 0.000 0.500
5 Ga 0.500 0.500 0.500
6 Ga 0.500 0.000 0.858
7 Nd 0.500 0.000 0.254
8 Nd 0.000 0.500 0.746
9 Pt 0.000 0.000 0.000
10 Pt 0.500 0.500 0.000


P has the most favorable energy; the next structure is 30 meV per atom above.


P:
The following is a DFT calculation (GGA-PBE) of a geometry-optimized GaCuReNi structure.

Lattice parameters (Å, degrees): 4.197 4.197 4.197 60.00 60.00 60.00
Atoms (fractional coordinates):
1 Cu 0.750 0.750 0.750
2 Ga 0.000 0.000 0.000
3 Ni 0.250 0.250 0.250
4 Re 0.500 0.500 0.500


Q:
The following is a DFT calculation (GGA-PBE) of a geometry-optimized GaCuReNi structure.

Lattice parameters (Å, degrees): 4.211 4.211 4.211 60.00 60.00 60.00
Atoms (fractional coordinates):
1 Cu 0.750 0.750 0.750
2 Ga 0.000 0.000 0.000
3 Ni 0.500 0.500 0.500
4 Re 0.250 0.250 0.250


Q has the most favorable energy; the next structure is 56 meV per atom above.


P:
The following is a DFT calculation (GGA-PBE) of a geometry-optimized ScGaCuNi structure.

Lattice parameters (Å, degrees): 4.322 4.322 4.322 60.00 60.00 60.00
Atoms (fractional coordinates):
1 Cu 0.750 0.750 0.750
2 Ga 0.000 0.000 0.000
3 Ni 0.250 0.250 0.250
4 Sc 0.500 0.500 0.500


Q:
The following is a DFT calculation (GGA-PBE) of a geometry-optimized ScGaCuNi structure.

Lattice parameters (Å, degrees): 4.336 4.336 4.336 60.00 60.00 60.00
Atoms (fractional coordinates):
1 Cu 0.500 0.500 0.500
2 Ga 0.000 0.000 0.000
3 Ni 0.250 0.250 0.250
4 Sc 0.750 0.750 0.750


P has the most favorable energy; the next structure is 107 meV per atom above.


P:
The following is a DFT calculation (GGA-PBE) of a geometry-optimized TaGaCuNi structure.

Lattice parameters (Å, degrees): 4.290 4.290 4.290 60.00 60.00 60.00
Atoms (fractional coordinates):
1 Cu 0.750 0.750 0.750
2 Ga 0.000 0.000 0.000
3 Ni 0.500 0.500 0.500
4 Ta 0.250 0.250 0.250


Q:
The following is a DFT calculation (GGA-PBE) of a geometry-optimized TaGaCuNi structure.

Lattice parameters (Å, degrees): 4.275 4.275 4.275 60.00 60.00 60.00
Atoms (fractional coordinates):
1 Cu 0.500 0.500 0.500
2 Ga 0.000 0.000 0.000
3 Ni 0.750 0.750 0.750
4 Ta 0.250 0.250 0.250


P has the most favorable energy; the next structure is 78 meV per atom above.